[1]
# ScCrTe4, optimized geometry, DFT PBE
# Excess energy over the best structure of this formula in the dataset ... 1100 meV/atom
# Theoretical density ... 5.8 Mg/m³
# Raw total energy ... -4.1659 eV/atom
# Energy relative to the elements, uncorrected ... 0.588 eV/atom
data_ScCrTe4
_chemical_formula_sum 'Sc4 Cr4 Te16'
_cell_length_a 8.8732
_cell_length_b 8.8732
_cell_length_c 8.8732
_cell_angle_alpha 90.00
_cell_angle_beta 90.00
_cell_angle_gamma 90.00
_symmetry_space_group_name_H-M 'F -4 3 m'
_symmetry_Int_Tables_number 216
_symmetry_space_group_name_Hall 'F -4 2 3'
loop_
_atom_site_label
_atom_site_fract_x
_atom_site_fract_y
_atom_site_fract_z
Sc1 0.0000 0.0000 0.0000
Cr1 0.2500 0.2500 0.2500
Te1 0.1250 0.1250 0.6250


[2]
# ScTcCl2, optimized geometry, DFT PBE
# Excess energy over the best structure of this formula in the dataset ... 77 meV/atom
# Theoretical density ... 3.6 Mg/m³
# Raw total energy ... -5.7268 eV/atom
# Energy relative to the elements, uncorrected ... -0.629 eV/atom
data_ScTcCl2
_chemical_formula_sum 'Sc2 Tc2 Cl4'
_cell_length_a 13.6440
_cell_length_b 3.2428
_cell_length_c 4.5008
_cell_angle_alpha 90.00
_cell_angle_beta 94.85
_cell_angle_gamma 90.00
_symmetry_space_group_name_H-M 'C 1 2/m 1'
_symmetry_Int_Tables_number 12
_symmetry_space_group_name_Hall '-C 2y'
loop_
_atom_site_label
_atom_site_fract_x
_atom_site_fract_y
_atom_site_fract_z
Sc1 0.0000 0.0000 0.0000
Tc1 0.0000 0.5000 0.5000
Cl1 0.1396 0.5000 0.2121


[3]
# Zr12Ti3Os5, optimized geometry, DFT PBE
# Theoretical density ... 7.3 Mg/m³
# Raw total energy ... -8.3798 eV/atom
data_Zr12Ti3Os5
_chemical_formula_sum 'Zr96 Ti24 Os40'
_cell_length_a 15.8493
_cell_length_b 15.8493
_cell_length_c 15.8493
_cell_angle_alpha 90.00
_cell_angle_beta 90.00
_cell_angle_gamma 90.00
_symmetry_space_group_name_H-M 'I a -3 d'
_symmetry_Int_Tables_number 230
_symmetry_space_group_name_Hall '-I 4bd 2c 3'
loop_
_atom_site_label
_atom_site_fract_x
_atom_site_fract_y
_atom_site_fract_z
Zr1 0.0284 0.0734 0.6451
Ti1 0.0000 0.2500 0.1250
Os1 0.0000 0.0000 0.0000
Os2 0.0000 0.2500 0.3750


[4]
# Tl6Hg3Au, optimized geometry, DFT PBE
# Theoretical density ... 11.5 Mg/m³
# Raw total energy ... -1.8387 eV/atom
data_Tl6Hg3Au
_chemical_formula_sum 'Tl12 Hg6 Au2'
_cell_length_a 11.7737
_cell_length_b 3.5174
_cell_length_c 14.8816
_cell_angle_alpha 90.00
_cell_angle_beta 107.66
_cell_angle_gamma 90.00
_symmetry_space_group_name_H-M 'P 1 21/m 1'
_symmetry_Int_Tables_number 11
_symmetry_space_group_name_Hall '-P 2yb'
loop_
_atom_site_label
_atom_site_fract_x
_atom_site_fract_y
_atom_site_fract_z
Tl1 0.0010 0.2500 0.3138
Tl2 0.0949 0.2500 0.9005
Tl3 0.2645 0.7500 0.3257
Tl4 0.2954 0.7500 0.7371
Tl5 0.3824 0.2500 0.5337
Tl6 0.3909 0.7500 0.1312
Hg1 0.1272 0.7500 0.5148
Hg2 0.1464 0.2500 0.1223
Hg3 0.3724 0.2500 0.9343
Au1 0.4739 0.2500 0.3076


[5]
# CaZrNF2, optimized geometry, DFT PBE
# Excess energy over the best structure of this formula in the dataset ... 673 meV/atom
# Theoretical density ... 3.7 Mg/m³
# Raw total energy ... -5.9268 eV/atom
# Energy relative to the elements, uncorrected ... -1.403 eV/atom
data_CaZrNF2
_chemical_formula_sum 'Ca1 Zr1 N1 F2'
_cell_length_a 3.9984
_cell_length_b 3.9984
_cell_length_c 5.1017
_cell_angle_alpha 90.00
_cell_angle_beta 90.00
_cell_angle_gamma 90.00
_symmetry_space_group_name_H-M 'P 4/m m m'
_symmetry_Int_Tables_number 123
_symmetry_space_group_name_Hall '-P 4 2'
loop_
_atom_site_label
_atom_site_fract_x
_atom_site_fract_y
_atom_site_fract_z
Ca1 0.0000 0.0000 0.0000
Zr1 0.5000 0.5000 0.5000
N1 0.0000 0.0000 0.5000
F1 0.0000 0.5000 0.0000


[6]
# Ce2Ga4Ge2Pt, optimized geometry, DFT PBE
# Theoretical density ... 8.4 Mg/m³
# Raw total energy ... -4.9835 eV/atom
data_Ce2Ga4Ge2Pt
_chemical_formula_sum 'Ce4 Ga8 Ge4 Pt2'
_cell_length_a 6.2376
_cell_length_b 6.2376
_cell_length_c 9.1883
_cell_angle_alpha 90.00
_cell_angle_beta 90.00
_cell_angle_gamma 90.00
_symmetry_space_group_name_H-M 'I 4/m m m'
_symmetry_Int_Tables_number 139
_symmetry_space_group_name_Hall '-I 4 2'
loop_
_atom_site_label
_atom_site_fract_x
_atom_site_fract_y
_atom_site_fract_z
Ce1 0.0000 0.5000 0.2500
Ga1 0.2136 0.2136 0.0000
Ge1 0.0000 0.0000 0.2207
Pt1 0.0000 0.0000 0.5000


Number 1: density of states at the Fermi level 0.7035 states/eV/atom. Number 2: density of states at the Fermi level 0.5707 states/eV/atom. Number 3: density of states at the Fermi level 1.4851 states/eV/atom. Number 4: density of states at the Fermi level 0.4466 states/eV/atom. Number 5: density of states at the Fermi level 0.6383 states/eV/atom. Number 6: density of states at the Fermi level 1.1444 states/eV/atom.